Crystalline AlIn2Sb at its relaxed geometry, computed with GGA-PBE.

Computed properties:
space-group type	I-4m2, No. 119
VASP energy	-12.7	eV for the cell shown
formation energy from raw total energies	163	meV per atom
Fermi-level density of states	1.9	states/eV/cell

Lattice parameters (Å, degrees): 5.6475 5.6475 5.6475 130.49 130.49 72.63
Sites, in units of the cell vectors:
Al (0.7500, 0.2500, 0.5000)
Sb (0.5000, 0.5000, 0.0000)
In (0.0000, 0.0000, 0.0000)
In (0.2500, 0.7500, 0.5000)